1.
The following is a PBE-GGA calculation of an optimized crystal structure of CaHBr, from Alexandria.

```
3
Lattice="-0.197 -3.549 -2.556 2.458 -1.860 2.393 -3.850 -0.219 0.602" Properties=species:S:1:pos:R:3 pbc="T T T"
Ca -0.033 -0.591 -0.425
Br 0.224 -3.680 0.092
H -1.780 -1.359 0.772
```

## Properties
E_tot, eV per formula unit: -10.81
SG: P-6m2 (187)


2.
The following is a PBE-GGA calculation of an optimized crystal structure of Na2Ga2Ag3, from Alexandria.

```
7
Lattice="4.438 0.000 0.000 -2.219 5.174 -0.431 0.000 -2.889 6.723" Properties=species:S:1:pos:R:3 pbc="T T T"
Ag 0.000 2.259 3.449
Ag 2.219 0.026 2.844
Na 0.000 -0.654 4.992
Na 2.219 2.939 1.300
Ga 0.000 0.719 1.281
Ga 2.219 1.566 5.012
Ag 2.219 0.000 0.000
```

## Properties
E_tot, eV per formula unit: -17.70
Energy relative to the elements, eV per atom: -0.066
ΔE to the lowest computed polymorph, eV/atom: 0.000
SG: C2/m (12)


Repeat the first record exactly.
The following is a PBE-GGA calculation of an optimized crystal structure of CaHBr, from Alexandria.

```
3
Lattice="-0.197 -3.549 -2.556 2.458 -1.860 2.393 -3.850 -0.219 0.602" Properties=species:S:1:pos:R:3 pbc="T T T"
Ca -0.033 -0.591 -0.425
Br 0.224 -3.680 0.092
H -1.780 -1.359 0.772
```

## Properties
E_tot, eV per formula unit: -10.81
SG: P-6m2 (187)


Among the records above, which one has the highest E_tot? CaHBr


Among the records above, which one has the highest E_tot? CaHBr